#A
## Mo2WAu (meta-GGA SCAN)

Data for Mo2WAu at its PBEsol-relaxed geometry.

- crystal system = monoclinic
- density (g cm⁻³) = 15.060
- total magnetic moment (μB per formula unit) = 0.0
- SG = Pm (6)

Cell and atoms, written as extended XYZ:
```
4
Lattice="2.678 0.000 0.140 0.000 4.544 0.000 -0.990 0.000 5.137" Properties=species:S:1:pos:R:3 pbc="T T T"
Au 0.265 2.272 3.957
Mo 1.614 0.000 5.251
Mo 1.694 2.272 1.462
W 0.648 0.000 2.521
```

#B
## Mo2WAu (meta-GGA SCAN)

Data for Mo2WAu at its PBEsol-relaxed geometry.

- crystal system = orthorhombic
- density (g cm⁻³) = 15.098
- total magnetic moment (μB per formula unit) = 0.0
- SG = Cmmm (65)

Cell and atoms, written as extended XYZ:
```
4
Lattice="-1.609 -1.776 -1.260 0.424 -0.947 2.501 -7.226 4.474 2.919" Properties=species:S:1:pos:R:3 pbc="T T T"
Au -0.592 -1.362 0.620
Mo -1.865 1.155 0.753
Mo -5.361 3.320 2.166
W -4.206 0.876 2.080
```

The most stable arrangement is #B, and the next structure is 116 meV per atom less stable.

#A
## Bi (meta-GGA SCAN)

Data for Bi at its PBEsol-relaxed geometry.

- crystal system = trigonal
- density (g cm⁻³) = 10.088
- total magnetic moment (μB per formula unit) = 0.0
- SG = R-3m (166)

Cell and atoms, written as extended XYZ:
```
2
Lattice="-2.779 -1.191 -3.372 -3.854 -2.196 0.911 -4.062 2.258 -0.491" Properties=species:S:1:pos:R:3 pbc="T T T"
Bi -2.601 -0.415 -0.751
Bi -8.094 -0.714 -2.201
```

#B
## Bi (meta-GGA SCAN)

Data for Bi at its PBEsol-relaxed geometry.

- crystal system = orthorhombic
- density (g cm⁻³) = 11.246
- total magnetic moment (μB per formula unit) = 0.0
- SG = Cmce (64)

Cell and atoms, written as extended XYZ:
```
8
Lattice="-5.394 0.693 -3.692 5.134 -3.308 -2.430 -2.407 -5.553 2.475" Properties=species:S:1:pos:R:3 pbc="T T T"
Bi 0.844 -4.912 -1.563
Bi -3.217 -0.134 -3.431
Bi -3.511 -3.257 -2.085
Bi 2.957 -2.481 -2.691
Bi -0.480 -1.746 -1.535
Bi -2.188 -6.422 -2.112
Bi -1.648 -4.170 0.528
Bi -1.019 -3.998 -4.175
```

The most stable arrangement is #A, and the next structure is 144 meV per atom less stable.

#A
## SrCuNi2 (meta-GGA SCAN)

Data for SrCuNi2 at its PBEsol-relaxed geometry.

- crystal system = monoclinic
- density (g cm⁻³) = 6.213
- total magnetic moment (μB per formula unit) = 0.6
- SG = Cm (8)

Cell and atoms, written as extended XYZ:
```
4
Lattice="4.049 0.000 0.000 -2.025 3.506 -0.068 0.000 -2.230 5.099" Properties=species:S:1:pos:R:3 pbc="T T T"
Sr 0.000 2.391 2.461
Cu 0.000 0.100 4.693
Ni 0.000 0.001 0.082
Ni 2.025 1.175 0.276
```

#B
## SrCuNi2 (meta-GGA SCAN)

Data for SrCuNi2 at its PBEsol-relaxed geometry.

- crystal system = trigonal
- density (g cm⁻³) = 6.166
- total magnetic moment (μB per formula unit) = 0.0
- SG = R-3m (166)

Cell and atoms, written as extended XYZ:
```
4
Lattice="4.077 0.001 0.049 2.038 3.531 0.049 1.983 1.146 5.056" Properties=species:S:1:pos:R:3 pbc="T T T"
Sr 0.992 0.573 2.528
Cu 3.057 1.766 0.049
Ni 3.006 1.736 4.814
Ni 5.092 2.941 0.340
```

The most stable arrangement is #A, and the next structure is 15 meV per atom less stable.

#A
## Sc2SiP (meta-GGA SCAN)

Data for Sc2SiP at its PBEsol-relaxed geometry.

- crystal system = cubic
- density (g cm⁻³) = 3.550
- total magnetic moment (μB per formula unit) = 0.0
- SG = Fm-3m (225)

Cell and atoms, written as extended XYZ:
```
4
Lattice="-2.432 3.675 1.383 -0.407 0.938 4.504 2.167 3.659 1.802" Properties=species:S:1:pos:R:3 pbc="T T T"
P 0.000 0.000 0.000
Sc -0.168 2.068 1.922
Sc -0.504 6.204 5.767
Si -0.336 4.136 3.845
```

#B
## Sc2SiP (meta-GGA SCAN)

Data for Sc2SiP at its PBEsol-relaxed geometry.

- crystal system = trigonal
- density (g cm⁻³) = 3.203
- total magnetic moment (μB per formula unit) = 1.4
- SG = R3m (160)

Cell and atoms, written as extended XYZ:
```
4
Lattice="-1.582 -2.121 2.032 -0.520 -3.153 -0.958 6.314 -3.896 3.585" Properties=species:S:1:pos:R:3 pbc="T T T"
P 1.305 -2.369 1.281
Sc -1.824 -5.359 1.202
Sc 2.999 -6.829 3.422
Si 1.735 -4.472 2.159
```

The most stable arrangement is #A, and the next structure is 375 meV per atom less stable.

#A
## TlSi2Se (meta-GGA SCAN)

Data for TlSi2Se at its PBEsol-relaxed geometry.

- crystal system = trigonal
- density (g cm⁻³) = 6.528
- total magnetic moment (μB per formula unit) = 0.0
- SG = R3m (160)

Cell and atoms, written as extended XYZ:
```
4
Lattice="3.412 0.000 0.000 1.706 2.955 0.000 1.706 0.985 8.566" Properties=species:S:1:pos:R:3 pbc="T T T"
Se 1.706 0.985 1.419
Si 1.706 0.985 8.508
Si 5.118 2.955 6.928
Tl 3.412 1.970 4.561
```

#B
## TlSi2Se (meta-GGA SCAN)

Data for TlSi2Se at its PBEsol-relaxed geometry.

- crystal system = tetragonal
- density (g cm⁻³) = 6.882
- total magnetic moment (μB per formula unit) = 0.0
- SG = P4/mmm (123)

Cell and atoms, written as extended XYZ:
```
4
Lattice="4.111 0.000 0.000 0.000 4.111 0.000 0.000 0.000 4.848" Properties=species:S:1:pos:R:3 pbc="T T T"
Se 0.000 0.000 2.424
Si 0.000 2.055 0.000
Si 2.055 0.000 0.000
Tl 2.055 2.055 2.424
```

The most stable arrangement is #A, and the next structure is 571 meV per atom less stable.

#A
## BaBeP2 (meta-GGA SCAN)

Data for BaBeP2 at its PBEsol-relaxed geometry.

- crystal system = tetragonal
- density (g cm⁻³) = 4.206
- total magnetic moment (μB per formula unit) = 0.0
- SG = I4/mmm (139)

Cell and atoms, written as extended XYZ:
```
4
Lattice="4.833 0.001 -0.002 -2.257 4.273 0.002 2.257 1.553 3.981" Properties=species:S:1:pos:R:3 pbc="T T T"
P 2.416 4.371 2.986
P 2.416 1.457 0.995
Ba 0.000 2.913 1.991
Be 0.000 0.000 0.000
```

#B
## BaBeP2 (meta-GGA SCAN)

Data for BaBeP2 at its PBEsol-relaxed geometry.

- crystal system = tetragonal
- density (g cm⁻³) = 4.490
- total magnetic moment (μB per formula unit) = 0.0
- SG = P4mm (99)

Cell and atoms, written as extended XYZ:
```
4
Lattice="-1.191 -3.207 0.207 2.105 -0.611 2.635 -4.648 1.996 4.176" Properties=species:S:1:pos:R:3 pbc="T T T"
P -4.646 1.995 4.174
P -0.263 -1.600 2.068
Ba -2.331 1.001 2.094
Be -3.468 -0.224 4.947
```

The most stable arrangement is #B, and the next structure is 299 meV per atom less stable.

#A
## BaLiCo2 (meta-GGA SCAN)

Data for BaLiCo2 at its PBEsol-relaxed geometry.

- crystal system = trigonal
- density (g cm⁻³) = 5.356
- total magnetic moment (μB per formula unit) = 2.5
- SG = R-3m (166)

Cell and atoms, written as extended XYZ:
```
4
Lattice="-1.255 -3.564 -1.636 0.922 -0.909 -3.909 4.581 -3.908 -0.179" Properties=species:S:1:pos:R:3 pbc="T T T"
Ba 0.000 0.000 0.000
Co 2.176 -5.766 -4.652
Co 2.071 -2.616 -1.072
Li 2.124 -4.191 -2.862
```

#B
## BaLiCo2 (meta-GGA SCAN)

Data for BaLiCo2 at its PBEsol-relaxed geometry.

- crystal system = monoclinic
- density (g cm⁻³) = 5.318
- total magnetic moment (μB per formula unit) = 3.1
- SG = P2/m (10)

Cell and atoms, written as extended XYZ:
```
4
Lattice="-2.889 -1.987 -1.612 2.215 -0.275 -3.631 2.790 -3.744 1.986" Properties=species:S:1:pos:R:3 pbc="T T T"
Ba 2.503 -2.010 -0.823
Co 0.422 -4.815 0.622
Co -0.520 -0.916 -0.248
Li -0.337 -1.131 -2.622
```

The most stable arrangement is #A, and the next structure is 221 meV per atom less stable.

#A
## ScTa2Cl (meta-GGA SCAN)

Data for ScTa2Cl at its PBEsol-relaxed geometry.

- crystal system = tetragonal
- density (g cm⁻³) = 8.562
- total magnetic moment (μB per formula unit) = 0.0
- SG = P4mm (99)

Cell and atoms, written as extended XYZ:
```
4
Lattice="-0.384 -3.121 -0.955 2.884 0.126 -1.570 3.694 -2.470 6.585" Properties=species:S:1:pos:R:3 pbc="T T T"
Sc 4.061 -3.378 3.750
Cl 2.185 -1.462 3.896
Ta 3.644 -2.437 6.497
Ta 1.843 -1.894 -0.206
```

#B
## ScTa2Cl (meta-GGA SCAN)

Data for ScTa2Cl at its PBEsol-relaxed geometry.

- crystal system = orthorhombic
- density (g cm⁻³) = 9.643
- total magnetic moment (μB per formula unit) = 0.0
- SG = Amm2 (38)

Cell and atoms, written as extended XYZ:
```
4
Lattice="-3.187 0.505 0.372 -0.613 -1.878 -2.695 -0.122 -4.761 5.417" Properties=species:S:1:pos:R:3 pbc="T T T"
Sc -1.949 -1.343 -0.693
Cl -0.144 -1.916 1.368
Ta -0.675 -5.852 2.160
Ta -1.878 -3.529 2.886
```

The most stable arrangement is #B, and the next structure is 31 meV per atom less stable.

#A
## Sc2TeP (meta-GGA SCAN)

Data for Sc2TeP at its PBEsol-relaxed geometry.

- crystal system = monoclinic
- density (g cm⁻³) = 5.089
- total magnetic moment (μB per formula unit) = 0.0
- SG = C2/m (12)

Cell and atoms, written as extended XYZ:
```
4
Lattice="-3.034 -1.515 -0.682 0.004 -0.618 4.856 -1.600 4.611 0.374" Properties=species:S:1:pos:R:3 pbc="T T T"
P -1.517 -0.758 -0.341
Sc -0.800 2.306 0.187
Sc 0.002 -0.309 2.428
Te -2.315 1.239 2.274
```

#B
## Sc2TeP (meta-GGA SCAN)

Data for Sc2TeP at its PBEsol-relaxed geometry.

- crystal system = trigonal
- density (g cm⁻³) = 4.891
- total magnetic moment (μB per formula unit) = 0.0
- SG = R3m (160)

Cell and atoms, written as extended XYZ:
```
4
Lattice="-2.560 0.079 -2.818 -2.321 -2.969 -0.548 -6.125 1.783 3.041" Properties=species:S:1:pos:R:3 pbc="T T T"
Sc -5.806 -2.325 -2.510
Sc -8.442 -0.715 -0.070
P -1.652 -0.948 -1.099
Te -5.490 -0.561 -0.174
```

The most stable arrangement is #B, and the next structure is 594 meV per atom less stable.

#A
## Zr2SbTe (meta-GGA SCAN)

Data for Zr2SbTe at its PBEsol-relaxed geometry.

- crystal system = trigonal
- density (g cm⁻³) = 7.274
- total magnetic moment (μB per formula unit) = 0.0
- SG = R-3m (166)

Cell and atoms, written as extended XYZ:
```
4
Lattice="4.146 0.000 0.000 2.073 3.590 0.000 2.073 1.197 6.622" Properties=species:S:1:pos:R:3 pbc="T T T"
Sb 0.000 0.000 0.000
Te 4.146 2.394 3.311
Zr 6.219 3.590 5.166
Zr 2.073 1.197 1.456
```

#B
## Zr2SbTe (meta-GGA SCAN)

Data for Zr2SbTe at its PBEsol-relaxed geometry.

- crystal system = tetragonal
- density (g cm⁻³) = 7.647
- total magnetic moment (μB per formula unit) = 0.0
- SG = P4mm (99)

Cell and atoms, written as extended XYZ:
```
4
Lattice="-2.976 1.702 -1.629 -2.352 -1.988 2.219 0.243 4.713 4.481" Properties=species:S:1:pos:R:3 pbc="T T T"
Sb 0.107 2.084 1.981
Te -2.468 3.663 3.913
Zr 0.238 4.607 4.380
Zr -2.598 1.144 1.518
```

The most stable arrangement is #B, and the next structure is 197 meV per atom less stable.

#A
## Ta5Mo3 (meta-GGA SCAN)

Data for Ta5Mo3 at its PBEsol-relaxed geometry.

- crystal system = tetragonal
- density (g cm⁻³) = 14.908
- total magnetic moment (μB per formula unit) = 0.0
- SG = I4mm (107)

Cell and atoms, written as extended XYZ:
```
8
Lattice="-3.930 2.161 -0.562 -1.524 -1.765 3.872 5.074 4.916 1.600" Properties=species:S:1:pos:R:3 pbc="T T T"
Mo -1.957 1.098 -0.270
Mo -2.153 1.449 2.452
Mo -0.754 -0.865 1.947
Ta -0.801 3.617 1.334
Ta -0.941 4.091 4.133
Ta 0.560 1.220 0.777
Ta 0.402 1.654 3.551
Ta 1.775 3.869 2.462
```

#B
## Ta5Mo3 (meta-GGA SCAN)

Data for Ta5Mo3 at its PBEsol-relaxed geometry.

- crystal system = monoclinic
- density (g cm⁻³) = 14.900
- total magnetic moment (μB per formula unit) = 0.0
- SG = P2/m (10)

Cell and atoms, written as extended XYZ:
```
8
Lattice="-0.638 -2.501 -1.137 1.079 -1.573 4.981 -8.589 1.176 2.231" Properties=species:S:1:pos:R:3 pbc="T T T"
Mo 0.000 0.000 0.000
Mo -4.074 -1.449 3.038
Mo 0.220 -2.037 1.922
Ta -2.308 -1.968 0.957
Ta -5.840 -0.930 5.118
Ta -1.462 -1.529 3.981
Ta -4.294 0.588 1.116
Ta -6.685 -1.369 2.094
```

The most stable arrangement is #A, and the next structure is 29 meV per atom less stable.

#A
## ReRh (meta-GGA SCAN)

Data for ReRh at its PBEsol-relaxed geometry.

- crystal system = monoclinic
- density (g cm⁻³) = 17.228
- total magnetic moment (μB per formula unit) = 0.0
- SG = C2/m (12)

Cell and atoms, written as extended XYZ:
```
4
Lattice="2.700 0.000 0.000 0.000 4.737 0.002 -1.350 -2.302 4.357" Properties=species:S:1:pos:R:3 pbc="T T T"
Re 1.350 1.640 3.266
Re 0.000 0.794 1.093
Rh 0.000 -0.763 3.302
Rh 1.350 3.197 1.058
```

#B
## ReRh (meta-GGA SCAN)

Data for ReRh at its PBEsol-relaxed geometry.

- crystal system = orthorhombic
- density (g cm⁻³) = 17.311
- total magnetic moment (μB per formula unit) = 0.0
- SG = Pmma (51)

Cell and atoms, written as extended XYZ:
```
4
Lattice="-2.413 -0.750 0.909 0.401 -3.786 -2.059 2.046 -1.890 3.874" Properties=species:S:1:pos:R:3 pbc="T T T"
Re 0.790 -1.584 0.792
Re 1.657 -4.092 1.024
Rh 0.605 -2.903 3.180
Rh -0.571 -3.524 -0.457
```

The most stable arrangement is #B, and the next structure is 93 meV per atom less stable.

#A
## LaBe2Os (meta-GGA SCAN)

Data for LaBe2Os at its PBEsol-relaxed geometry.

- crystal system = tetragonal
- density (g cm⁻³) = 8.843
- total magnetic moment (μB per formula unit) = 0.0
- SG = P4/mmm (123)

Cell and atoms, written as extended XYZ:
```
4
Lattice="-1.042 3.667 -0.530 -3.525 -0.811 1.323 1.312 0.963 4.086" Properties=species:S:1:pos:R:3 pbc="T T T"
Be 0.000 0.000 0.000
Be -2.284 1.428 0.397
Os -1.107 0.076 2.704
La 0.135 2.315 1.778
```

#B
## LaBe2Os (meta-GGA SCAN)

Data for LaBe2Os at its PBEsol-relaxed geometry.

- crystal system = monoclinic
- density (g cm⁻³) = 9.617
- total magnetic moment (μB per formula unit) = 0.0
- SG = C2/m (12)

Cell and atoms, written as extended XYZ:
```
4
Lattice="-1.700 2.270 -1.297 -3.615 -1.470 2.203 2.008 3.000 2.656" Properties=species:S:1:pos:R:3 pbc="T T T"
Be -1.808 -0.735 1.101
Be 1.004 1.500 1.328
Os -0.850 1.135 -0.648
La -1.654 1.900 1.781
```

The most stable arrangement is #B, and the next structure is 148 meV per atom less stable.

#A
## Ba2FeAg (meta-GGA SCAN)

Data for Ba2FeAg at its PBEsol-relaxed geometry.

- crystal system = orthorhombic
- density (g cm⁻³) = 5.668
- total magnetic moment (μB per formula unit) = 2.3
- SG = Amm2 (38)

Cell and atoms, written as extended XYZ:
```
4
Lattice="4.616 0.000 0.000 0.000 4.753 0.000 0.000 -2.376 5.855" Properties=species:S:1:pos:R:3 pbc="T T T"
Ag 2.308 2.376 0.885
Ba 0.000 2.376 5.649
Ba 2.308 0.000 3.196
Fe 0.000 2.376 2.043
```

#B
## Ba2FeAg (meta-GGA SCAN)

Data for Ba2FeAg at its PBEsol-relaxed geometry.

- crystal system = orthorhombic
- density (g cm⁻³) = 5.598
- total magnetic moment (μB per formula unit) = 2.5
- SG = Pmm2 (25)

Cell and atoms, written as extended XYZ:
```
4
Lattice="-0.273 -0.111 -3.744 5.050 -1.863 -0.312 -2.201 -6.024 0.339" Properties=species:S:1:pos:R:3 pbc="T T T"
Ag 0.461 -6.264 -1.731
Ba -1.924 -5.268 0.297
Ba 1.562 -3.250 -1.901
Fe -0.823 -2.252 0.127
```

The most stable arrangement is #A, and the next structure is 229 meV per atom less stable.

#A
## InPtCl2 (meta-GGA SCAN)

Data for InPtCl2 at its PBEsol-relaxed geometry.

- crystal system = orthorhombic
- density (g cm⁻³) = 8.463
- total magnetic moment (μB per formula unit) = 0.0
- SG = Pmmm (47)

Cell and atoms, written as extended XYZ:
```
4
Lattice="-1.696 -2.403 1.085 2.492 -0.135 3.596 -3.371 3.492 2.467" Properties=species:S:1:pos:R:3 pbc="T T T"
Cl 0.000 0.000 0.000
Cl -2.533 0.545 1.776
Pt -0.439 1.679 3.031
In 0.398 -1.269 2.341
```

#B
## InPtCl2 (meta-GGA SCAN)

Data for InPtCl2 at its PBEsol-relaxed geometry.

- crystal system = tetragonal
- density (g cm⁻³) = 8.180
- total magnetic moment (μB per formula unit) = 0.8
- SG = P4/mmm (123)

Cell and atoms, written as extended XYZ:
```
4
Lattice="-2.599 1.869 -0.500 -2.491 -2.577 3.319 1.517 3.047 3.504" Properties=species:S:1:pos:R:3 pbc="T T T"
Cl 0.758 1.523 1.752
Cl -1.246 -1.288 1.659
Pt -1.299 0.934 -0.250
In -1.787 1.169 3.162
```

The most stable arrangement is #A, and the next structure is 258 meV per atom less stable.